(1)
The following is a DFT calculation (PBE) of a relaxed structure of BaSrTeF2.

The calculation puts the density of states at the Fermi level at 0.00 states/eV per cell. The formation energy from raw total energies comes out at -2.981 eV/atom. The total energy is -5.079 eV per atom.

The structure belongs to space group P4mm (No. 99); the cell edges are 4.656, 4.656 and 6.937 Å and the angles 90.00°, 90.00° and 90.00°. The asymmetric unit holds Ba at (0.000, 0.000, 0.000), Sr at (0.500, 0.500, 0.356), Te at (0.500, 0.500, 0.821) and F at (0.000, 0.500, 0.255).

---

(2)
The following is a DFT calculation (PBE) of a relaxed structure of BaSr2TlF.

The calculation puts the density of states at the Fermi level at 1.95 states/eV per cell. The formation energy from raw total energies comes out at -1.208 eV/atom. The total energy is -3.113 eV per atom.

The structure belongs to space group P4/mmm (No. 123); the cell edges are 5.427, 5.427 and 5.591 Å and the angles 90.00°, 90.00° and 90.00°. The asymmetric unit holds Ba at (0.000, 0.000, 0.000), Sr at (0.000, 0.500, 0.500), Tl at (0.500, 0.500, 0.000) and F at (0.000, 0.000, 0.500).